[1]
Y2CrSe2: relaxed, GGA-PBEsol.

The structure in POSCAR format:
```
Y2CrSe2
1.0
-2.414 2.414 6.280
2.414 -2.414 6.280
2.414 2.414 -6.280
Y Cr Se
2 1 2
Direct
0.143 0.143 0.000
0.857 0.857 0.000
0.500 0.500 0.000
0.250 0.750 0.500
0.750 0.250 0.500
```

## Properties
Density of states at the Fermi level (states/eV/cell): 3.1
VASP energy (eV/atom): -6.76
Formation energy from raw total energies (eV per atom): -0.4476
Space-group type: I4/mmm, No. 139

=====

[2]
RbH2Se: relaxed, GGA-PBEsol.

The structure in POSCAR format:
```
RbH2Se
1.0
-2.353 2.353 6.641
2.353 -2.353 6.641
2.353 2.353 -6.641
Rb H Se
2 4 2
Direct
0.375 0.625 0.750
0.625 0.375 0.250
0.000 0.000 0.000
0.000 0.000 0.500
0.000 0.500 0.000
0.500 0.000 0.500
0.125 0.875 0.250
0.875 0.125 0.750
```

## Properties
Density of states at the Fermi level (states/eV/cell): 1.7
VASP energy (eV/atom): -2.84
Space-group type: I4_1/amd, No. 141

=====

[3]
CaSn2Sb2: relaxed, GGA-PBEsol.

The structure in POSCAR format:
```
CaSn2Sb2
1.0
-2.199 2.199 7.644
2.199 -2.199 7.644
2.199 2.199 -7.644
Ca Sn Sb
1 2 2
Direct
0.000 0.000 0.000
0.406 0.406 0.000
0.594 0.594 0.000
0.250 0.750 0.500
0.750 0.250 0.500
```

## Properties
Density of states at the Fermi level (states/eV/cell): 3.2
VASP energy (eV/atom): -4.03
Formation energy from raw total energies (eV per atom): -0.0792
Space-group type: I4/mmm, No. 139

=====

[4]
Sn3AsS: relaxed, GGA-PBEsol.

The structure in POSCAR format:
```
Sn3AsS
1.0
5.329 0.000 0.000
0.000 5.329 0.000
0.000 0.000 5.329
Sn As S
3 1 1
Direct
0.000 0.000 0.500
0.000 0.500 0.000
0.500 0.000 0.000
0.000 0.000 0.000
0.500 0.500 0.500
```

## Properties
Density of states at the Fermi level (states/eV/cell): 4.0
VASP energy (eV/atom): -3.81
Formation energy from raw total energies (eV per atom): 0.6403
Space-group type: Pm-3m, No. 221

=====

[5]
MgAgHg: relaxed, GGA-PBEsol.

The structure in POSCAR format:
```
MgAgHg
1.0
3.143 0.000 0.000
-1.572 2.722 0.000
0.000 0.000 6.848
Mg Ag Hg
1 1 1
Direct
0.000 0.000 0.000
0.667 0.333 0.684
0.333 0.667 0.343
```

## Properties
Density of states at the Fermi level (states/eV/cell): 1.2
Relative energy among the computed polymorphs (meV per atom): 139.3
Energy of formation (kJ/mol of formula units): -25
VASP energy (eV/atom): -1.95
Space-group type: P3m1, No. 156

=====

[6]
Mn2Tc: relaxed, GGA-PBEsol.

The structure in POSCAR format:
```
Mn2Tc
1.0
0.000 3.255 3.255
3.255 0.000 3.255
3.255 3.255 0.000
Mn Tc
4 2
Direct
0.000 0.000 0.000
0.000 0.000 0.500
0.000 0.500 0.000
0.500 0.000 0.000
0.375 0.375 0.375
0.625 0.625 0.625
```

## Properties
Density of states at the Fermi level (states/eV/cell): 3.6
Relative energy among the computed polymorphs (meV per atom): 21.1
Energy of formation (kJ/mol of formula units): -18
VASP energy (eV/atom): -10.33
Space-group type: Fd-3m, No. 227

=====

[7]
TaSiP2: relaxed, GGA-PBEsol.

The structure in POSCAR format:
```
TaSiP2
1.0
3.427 0.000 0.000
0.000 1.684 5.306
0.000 -1.684 5.306
Ta Si P
1 1 2
Direct
0.000 0.000 0.000
0.500 0.810 0.810
0.000 0.318 0.318
0.500 0.595 0.595
```

## Properties
Density of states at the Fermi level (states/eV/cell): 1.7
VASP energy (eV/atom): -7.86
Formation energy from raw total energies (eV per atom): -0.3859
Space-group type: Amm2, No. 38

=====

[8]
CuAsAu2Br: relaxed, GGA-PBEsol.

The structure in POSCAR format:
```
CuAsAu2Br
1.0
4.915 0.000 0.000
0.000 4.915 0.000
0.000 0.000 4.336
Cu As Au Br
1 1 2 1
Direct
0.000 0.000 0.000
0.000 0.000 0.500
0.000 0.500 0.000
0.500 0.000 0.000
0.500 0.500 0.500
```

## Properties
Density of states at the Fermi level (states/eV/cell): 4.4
VASP energy (eV/atom): -3.23
Formation energy from raw total energies (eV per atom): 0.6054
Space-group type: P4/mmm, No. 123

=====

[9]
Zn2SnPd2: relaxed, GGA-PBEsol.

The structure in POSCAR format:
```
Zn2SnPd2
1.0
7.119 0.000 0.000
0.000 7.119 0.000
0.000 0.000 3.141
Zn Sn Pd
4 2 4
Direct
0.146 0.354 0.000
0.354 0.854 0.000
0.646 0.146 0.000
0.854 0.646 0.000
0.000 0.000 0.500
0.500 0.500 0.500
0.147 0.647 0.500
0.353 0.147 0.500
0.647 0.853 0.500
0.853 0.353 0.500
```

## Properties
Density of states at the Fermi level (states/eV/cell): 2.4
Energy of formation (kJ/mol of formula units): -195
VASP energy (eV/atom): -4.27
Space-group type: P4/mbm, No. 127

=====

[10]
RbLi3Sb: relaxed, GGA-PBEsol.

The structure in POSCAR format:
```
RbLi3Sb
1.0
5.335 0.000 0.000
0.000 5.335 0.000
0.000 0.000 5.335
Rb Li Sb
1 3 1
Direct
0.000 0.000 0.000
0.000 0.500 0.500
0.500 0.000 0.500
0.500 0.500 0.000
0.500 0.500 0.500
```

## Properties
Density of states at the Fermi level (states/eV/cell): 1.9
VASP energy (eV/atom): -2.61
Formation energy from raw total energies (eV per atom): -0.3118
Space-group type: Pm-3m, No. 221

=====

[11]
LaNiSe4: relaxed, GGA-PBEsol.

The structure in POSCAR format:
```
LaNiSe4
1.0
0.000 3.972 3.972
3.972 0.000 3.972
3.972 3.972 0.000
La Ni Se
1 1 4
Direct
0.000 0.000 0.000
0.250 0.250 0.250
0.129 0.624 0.624
0.624 0.129 0.624
0.624 0.624 0.129
0.624 0.624 0.624
```

## Properties
Density of states at the Fermi level (states/eV/cell): 8.5
VASP energy (eV/atom): -4.47
Formation energy from raw total energies (eV per atom): 0.0145
Space-group type: F-43m, No. 216

=====

[12]
CrCo2Ru: relaxed, GGA-PBEsol.

The structure in POSCAR format:
```
CrCo2Ru
1.0
3.864 0.000 0.000
0.000 1.260 4.615
0.000 -1.260 4.615
Cr Co Ru
1 2 1
Direct
0.000 0.000 0.000
0.000 0.730 0.730
0.500 0.127 0.127
0.500 0.385 0.385
```

## Properties
Density of states at the Fermi level (states/eV/cell): 4.5
Relative energy among the computed polymorphs (meV per atom): 86.8
Energy of formation (kJ/mol of formula units): 48
VASP energy (eV/atom): -8.85
Space-group type: Amm2, No. 38

=====

- Which value of VASP energy does entry 6 give?
  -10.33 eV/atom

=====

- Which formula does entry 1 have?
  Y2CrSe2

=====

Please write out number 4 again, unchanged.
Sn3AsS: relaxed, GGA-PBEsol.

The structure in POSCAR format:
```
Sn3AsS
1.0
5.329 0.000 0.000
0.000 5.329 0.000
0.000 0.000 5.329
Sn As S
3 1 1
Direct
0.000 0.000 0.500
0.000 0.500 0.000
0.500 0.000 0.000
0.000 0.000 0.000
0.500 0.500 0.500
```

## Properties
Density of states at the Fermi level (states/eV/cell): 4.0
VASP energy (eV/atom): -3.81
Formation energy from raw total energies (eV per atom): 0.6403
Space-group type: Pm-3m, No. 221